VASP calculation (PBE) on an optimized crystal structure of Ba5AlS6.

The structure belongs to space group C2/m (No. 12); the cell edges are 7.717, 13.351 and 7.703 Å and the angles 90.00°, 109.49° and 90.00°. The distinct sites, in fractional coordinates, are Ba at (0.000, 0.000, 0.000), Ba at (0.000, 0.167, 0.500), Ba at (0.000, 0.334, 0.000), Al at (0.000, 0.500, 0.500), S at (0.228, 0.500, 0.267) and S at (0.231, 0.347, 0.734).

The calculation puts the uncorrected formation energy at -1678 meV/atom. For the total DFT energy (no corrections), the calculation gives -4.8547 eV per atom. As for the density of states at the Fermi level: 7.77 states/eV/cell.